VASP calculation (PBEsol) on a geometry-optimized Hg3GeS structure.

POSCAR file:
```
Hg3GeS
1.0
5.090 0.000 0.000
0.000 5.090 0.000
0.000 0.000 5.090
Ge S Hg
1 1 3
direct
0.000 0.000 0.000
0.500 0.500 0.500
0.500 0.000 0.000
0.000 0.500 0.000
0.000 0.000 0.500
```

## Properties
Formation energy without anion corrections ... 0.44 eV per atom
Calculated volume ... 132 Å³/cell
SG ... No. 221
Total magnetic moment ... 0.55 μB per formula unit